Entry 1:
This record from Alexandria via LeMat-Bulk describes a relaxed structure of SrSb. The functional is PBE-GGA.

Cell lengths 6.520, 6.520, 6.520 Å; angles 90.00, 90.00, 90.00 degrees
Sites, in units of the cell vectors:
1 Sb 0.408 0.408 0.408
2 Sb 0.908 0.092 0.592
3 Sr 0.594 0.406 0.906
4 Sr 0.406 0.906 0.594
5 Sr 0.094 0.094 0.094
6 Sr 0.906 0.594 0.406
7 Sb 0.592 0.908 0.092
8 Sb 0.092 0.592 0.908

Computed properties:
Its magnetization is 0.00 μB per formula unit. For the uncorrected formation energy, the calculation gives -127 kJ/mol of formula units. The density of states at the Fermi level is 8.79 states/eV/cell.



Entry 2:
This record from Alexandria via LeMat-Bulk describes a relaxed structure of HgRh. The functional is PBE-GGA.

Cell lengths 2.946, 2.946, 9.589 Å; angles 90.00, 90.00, 120.00 degrees
Sites, in units of the cell vectors:
1 Rh 0.333 0.667 0.393
2 Hg 0.667 0.333 0.147
3 Hg 0.333 0.667 0.853
4 Rh 0.667 0.333 0.607

Computed properties:
Its magnetization is 0.26 μB per formula unit. The value obtained for the final energy is -14.08 eV/cell. The density of states at the Fermi level is 4.81 states/eV/cell.



Entry 3:
This record from Alexandria via LeMat-Bulk describes a relaxed structure of Tb3Mg2Ru. The functional is PBE-GGA.

Cell lengths 5.032, 7.880, 7.992 Å; angles 90.00, 90.00, 71.38 degrees
Sites, in units of the cell vectors:
1 Mg 0.000 0.000 0.500
2 Ru 0.341 0.319 0.000
3 Mg 0.000 0.000 0.000
4 Tb 0.176 0.649 0.209
5 Tb 0.824 0.351 0.791
6 Tb 0.500 0.000 0.779
7 Tb 0.175 0.649 0.791
8 Tb 0.500 0.000 0.221
9 Mg 0.667 0.667 0.500
10 Tb 0.825 0.351 0.209
11 Ru 0.659 0.681 0.000
12 Mg 0.333 0.333 0.500

Computed properties:
Its magnetization is 0.00 μB per formula unit. The value obtained for the final energy is -55.18 eV/cell. The density of states at the Fermi level is 7.78 states/eV/cell.



Entry 4:
This record from Alexandria via LeMat-Bulk describes a relaxed structure of TlMoRu2. The functional is PBE-GGA.

Cell lengths 4.956, 4.956, 4.845 Å; angles 77.87, 77.87, 34.80 degrees
Sites, in units of the cell vectors:
1 Ru 0.738 0.738 0.761
2 Tl 0.498 0.498 0.521
3 Ru 0.999 0.999 0.028
4 Mo 0.265 0.265 0.190

Computed properties:
Its magnetization is 0.00 μB per formula unit. The value obtained for the offset from the most stable computed form is 165 meV/atom. The density of states at the Fermi level is 4.43 states/eV/cell.



Entry 5:
This record from Alexandria via LeMat-Bulk describes a relaxed structure of Hf2NbO. The functional is PBE-GGA.

Cell lengths 2.873, 2.873, 7.774 Å; angles 90.00, 90.00, 90.00 degrees
Sites, in units of the cell vectors:
1 O 0.500 0.500 0.000
2 Nb 0.500 0.500 0.500
3 Hf 0.000 0.000 0.804
4 Hf 0.000 0.000 0.196

Computed properties:
Its magnetization is 0.00 μB per formula unit. For the uncorrected formation energy, the calculation gives -282 kJ/mol of formula units. The density of states at the Fermi level is 3.21 states/eV/cell.



Entry 6:
This record from Alexandria via LeMat-Bulk describes a relaxed structure of InHgW2. The functional is PBE-GGA.

Cell lengths 3.169, 2.929, 8.977 Å; angles 74.08, 90.00, 90.00 degrees
Sites, in units of the cell vectors:
1 W 0.500 0.373 0.220
2 Hg 0.000 0.636 0.475
3 In 0.500 0.614 0.777
4 W 0.000 0.876 0.028

Computed properties:
Its magnetization is 0.00 μB per formula unit. The value obtained for the offset from the most stable computed form is 0 meV/atom. The density of states at the Fermi level is 2.30 states/eV/cell.